# LiWS4

LiWS4 after structural relaxation (PBE, Alexandria via LeMat-Bulk).

The calculation puts the density of states at the Fermi level at 8.30 states/eV/cell. The formation energy without anion corrections is -0.348 eV/atom.

The structure belongs to space group Cmmm (No. 65); the cell edges are 8.414, 8.707 and 3.272 Å and the angles 90.00°, 90.00° and 90.00°. The inequivalent atoms are Li at (0.000, 0.000, 0.000), W at (0.000, 0.500, 0.500), S at (0.000, 0.300, 0.000) and S at (0.222, 0.000, 0.500).

# LiY2S3

LiY2S3 after structural relaxation (PBE, Alexandria via LeMat-Bulk).

The calculation puts the relative energy among the computed polymorphs at 82 meV/atom. The calculation puts the density of states at the Fermi level at 3.11 states/eV/cell. The formation energy without anion corrections is -1.798 eV/atom.

The structure belongs to space group Immm (No. 71); the cell edges are 3.673, 4.363 and 14.986 Å and the angles 90.00°, 90.00° and 90.00°. The inequivalent atoms are Li at (0.000, 0.000, 0.000), Y at (0.000, 0.000, 0.359), S at (0.000, 0.000, 0.173) and S at (0.000, 0.500, 0.000).

# Li3YS

Li3YS after structural relaxation (PBE, Alexandria via LeMat-Bulk).

The calculation puts the relative energy among the computed polymorphs at 1381 meV/atom. The calculation puts the density of states at the Fermi level at 2.05 states/eV/cell. The formation energy without anion corrections is 1.075 eV/atom.

The structure belongs to space group Pm-3m (No. 221); the cell edges are 5.576, 5.576 and 5.576 Å and the angles 90.00°, 90.00° and 90.00°. The inequivalent atoms are Li at (0.000, 0.000, 0.500), Y at (0.000, 0.000, 0.000) and S at (0.500, 0.500, 0.500).

# Li3Y5S8

Li3Y5S8 after structural relaxation (PBE, Alexandria via LeMat-Bulk).

The calculation puts the density of states at the Fermi level at 12.03 states/eV/cell. The formation energy without anion corrections is -1.899 eV/atom.

The structure belongs to space group R-3m (No. 166, hexagonal axes); the cell edges are 7.7756, 7.7756 and 18.8897 Å and the angles 90.00°, 90.00° and 120.00°. The inequivalent atoms are Li at (0.0000, 0.5000, 0.0000), Y at (0.0000, 0.0000, 0.0000), Y at (0.0000, 0.0000, 0.5000), Y at (0.0000, 0.5000, 0.5000), S at (0.0000, 0.0000, 0.2505) and S at (0.0034, 0.5017, 0.2518).

# Li3YS

Li3YS after structural relaxation (PBE, Alexandria via LeMat-Bulk).

The calculation puts the relative energy among the computed polymorphs at 0 meV/atom. The calculation puts the density of states at the Fermi level at 3.48 states/eV/cell. The formation energy without anion corrections is -0.307 eV/atom.

The structure belongs to space group Pm-3m (No. 221); the cell edges are 4.659, 4.659 and 4.659 Å and the angles 90.00°, 90.00° and 90.00°. The inequivalent atoms are Li at (0.000, 0.000, 0.500), Y at (0.500, 0.500, 0.500) and S at (0.000, 0.000, 0.000).

# Li2YS

Li2YS after structural relaxation (PBE, Alexandria via LeMat-Bulk).

The calculation puts the relative energy among the computed polymorphs at 0 meV/atom. The calculation puts the density of states at the Fermi level at 14.81 states/eV/cell. The formation energy without anion corrections is -0.653 eV/atom.

The structure belongs to space group I-42d (No. 122); the cell edges are 8.049, 8.049 and 5.368 Å and the angles 90.00°, 90.00° and 90.00°. The inequivalent atoms are Li at (0.162, 0.250, 0.125), Y at (0.000, 0.000, 0.500) and S at (0.000, 0.000, 0.000).